# 1
# ZnFeTc2P (PBE, relaxed)
# DFT formation energy: 0.391 eV per atom
data_ZnFeTc2P
_chemical_formula_sum 'Zn1 Fe1 Tc2 P1'
_space_group_name_H-M_alt 'P 4/m m m'
_space_group_IT_number 123
_space_group_name_Hall '-P 4 2'
_cell_length_a 4.385
_cell_length_b 4.385
_cell_length_c 4.095
_cell_angle_alpha 90.00
_cell_angle_beta 90.00
_cell_angle_gamma 90.00
loop_
_atom_site_label
_atom_site_fract_x
_atom_site_fract_y
_atom_site_fract_z
Zn1 0.000 0.000 0.000
Fe1 0.500 0.500 0.000
Tc1 0.000 0.500 0.500
P1 0.500 0.500 0.500

***

# 2
# FeTe2P (PBE, relaxed)
# ΔE_f (raw): 448 meV per atom
data_FeTe2P
_chemical_formula_sum 'Fe3 Te6 P3'
_space_group_name_H-M_alt 'R -3 m'
_space_group_IT_number 166
_space_group_name_Hall '-R 3 2"'
_cell_length_a 3.6800
_cell_length_b 3.6800
_cell_length_c 24.6534
_cell_angle_alpha 90.00
_cell_angle_beta 90.00
_cell_angle_gamma 120.00
loop_
_atom_site_label
_atom_site_fract_x
_atom_site_fract_y
_atom_site_fract_z
Fe1 0.0000 0.0000 0.0000
Te1 0.0000 0.0000 0.3907
P1 0.0000 0.0000 0.5000

***

| no. | magnetic moment (Bohr magnetons per cell) | VASP energy (eV/atom) |
| --- | --- | --- |
| 1 | 2.00 | -6.78 |
| 2 | 3.03 | -4.59 |